# 1
! AcNiAs2 | Alexandria | GGA-PBE | relaxed; values from VASP
! symmetry	No. 129
! total energy	-45.029	eV for the cell shown
! formation energy from the elements	-0.831	eV/atom
&SYSTEM
  ibrav = 0, nat = 8, ntyp = 3
/
ATOMIC_SPECIES
Ac 227.00 Ac.upf
Ni 58.69 Ni.upf
As 74.92 As.upf
ATOMIC_POSITIONS crystal
Ac 0.2500 0.2500 0.2436
Ac 0.7500 0.7500 0.7564
Ni 0.2500 0.7500 0.5000
Ni 0.7500 0.2500 0.5000
As 0.2500 0.2500 0.6158
As 0.2500 0.7500 0.0000
As 0.7500 0.2500 0.0000
As 0.7500 0.7500 0.3842
CELL_PARAMETERS angstrom
4.1633 0.0000 0.0000
0.0000 4.1633 0.0000
0.0000 0.0000 10.2980



# 2
! Rb2CoIr2 | Alexandria | GGA-PBE | relaxed; values from VASP
! symmetry	No. 127
! total energy	-46.433	eV for the cell shown
! formation energy from the elements	0.709	eV/atom
&SYSTEM
  ibrav = 0, nat = 10, ntyp = 3
/
ATOMIC_SPECIES
Rb 85.47 Rb.upf
Co 58.93 Co.upf
Ir 192.22 Ir.upf
ATOMIC_POSITIONS crystal
Rb 0.1818 0.3182 0.0000
Rb 0.3182 0.8182 0.0000
Rb 0.6818 0.1818 0.0000
Rb 0.8182 0.6818 0.0000
Co 0.0000 0.0000 0.5000
Co 0.5000 0.5000 0.5000
Ir 0.1362 0.6362 0.5000
Ir 0.3638 0.1362 0.5000
Ir 0.6362 0.8638 0.5000
Ir 0.8638 0.3638 0.5000
CELL_PARAMETERS angstrom
6.3166 0.0000 0.0000
0.0000 6.3166 0.0000
0.0000 0.0000 5.8378



# 3
! Tb3NdHo6 | Alexandria | GGA-PBE | relaxed; values from VASP
! symmetry	No. 146
! total energy	-43.285	eV for the cell shown
! formation energy from the elements	0.284	eV/atom
&SYSTEM
  ibrav = 0, nat = 10, ntyp = 3
/
ATOMIC_SPECIES
Tb 158.93 Tb.upf
Nd 144.24 Nd.upf
Ho 164.93 Ho.upf
ATOMIC_POSITIONS crystal
Tb 0.0000 0.0000 0.0000
Tb 0.2461 0.2461 0.2461
Tb 0.4952 0.4952 0.4952
Nd 0.7454 0.7454 0.7454
Ho 0.0743 0.4124 0.7414
Ho 0.2412 0.9143 0.5720
Ho 0.4124 0.7414 0.0743
Ho 0.5720 0.2412 0.9143
Ho 0.7414 0.0743 0.4124
Ho 0.9143 0.5720 0.2412
CELL_PARAMETERS angstrom
4.9097 2.8346 3.8752
-4.9097 2.8346 3.8752
0.0000 -5.6692 3.8752



# 4
! Cr4ReW3 | Alexandria | GGA-PBE | relaxed; values from VASP
! symmetry	No. 123
! total energy	-89.575	eV for the cell shown
! formation energy from the elements	0.028	eV/atom
&SYSTEM
  ibrav = 0, nat = 8, ntyp = 3
/
ATOMIC_SPECIES
Cr 52.00 Cr.upf
Re 186.21 Re.upf
W 183.84 W.upf
ATOMIC_POSITIONS crystal
Cr 0.0000 0.0000 0.1238
Cr 0.0000 0.0000 0.3742
Cr 0.0000 0.0000 0.6258
Cr 0.0000 0.0000 0.8762
Re 0.5000 0.5000 0.0000
W 0.5000 0.5000 0.2493
W 0.5000 0.5000 0.5000
W 0.5000 0.5000 0.7507
CELL_PARAMETERS angstrom
3.0172 0.0000 0.0000
0.0000 3.0172 0.0000
0.0000 0.0000 12.0867



# 5
! CeHo4Er3 | Alexandria | GGA-PBE | relaxed; values from VASP
! symmetry	No. 59
! total energy	-75.087	eV for the cell shown
! formation energy from the elements	0.049	eV/atom
&SYSTEM
  ibrav = 0, nat = 16, ntyp = 3
/
ATOMIC_SPECIES
Ce 140.12 Ce.upf
Ho 164.93 Ho.upf
Er 167.26 Er.upf
ATOMIC_POSITIONS crystal
Ce 0.2500 0.2500 0.1252
Ce 0.7500 0.7500 0.8748
Ho 0.2500 0.0009 0.3741
Ho 0.2500 0.2500 0.6250
Ho 0.2500 0.4991 0.3741
Ho 0.2500 0.7500 0.6259
Ho 0.7500 0.2500 0.3741
Ho 0.7500 0.5009 0.6259
Ho 0.7500 0.7500 0.3750
Ho 0.7500 0.9991 0.6259
Er 0.2500 0.5011 0.8761
Er 0.2500 0.7500 0.1234
Er 0.2500 0.9989 0.8761
Er 0.7500 0.0011 0.1239
Er 0.7500 0.2500 0.8766
Er 0.7500 0.4989 0.1239
CELL_PARAMETERS angstrom
4.9865 0.0000 0.0000
0.0000 9.9345 0.0000
0.0000 0.0000 9.9534



# 6
! Pu2BeNi4Ge3 | Alexandria | GGA-PBE | relaxed; values from VASP
! symmetry	No. 115
! total energy	-73.673	eV for the cell shown
! formation energy from the elements	-0.431	eV/atom
&SYSTEM
  ibrav = 0, nat = 10, ntyp = 4
/
ATOMIC_SPECIES
Pu 244.00 Pu.upf
Be 9.01 Be.upf
Ni 58.69 Ni.upf
Ge 72.64 Ge.upf
ATOMIC_POSITIONS crystal
Pu 0.0000 0.5000 0.2431
Pu 0.5000 0.0000 0.7569
Be 0.5000 0.5000 0.0000
Ni 0.0000 0.0000 0.5000
Ni 0.0000 0.5000 0.8783
Ni 0.5000 0.0000 0.1217
Ni 0.5000 0.5000 0.5000
Ge 0.0000 0.0000 0.0000
Ge 0.0000 0.5000 0.6348
Ge 0.5000 0.0000 0.3652
CELL_PARAMETERS angstrom
4.0156 0.0000 0.0000
0.0000 4.0156 0.0000
0.0000 0.0000 9.6980



N(E_F)? In order: 6.107, 5.685, 20.916, 6.207, 27.526, 25.564 states/eV/cell.